# 1
First-principles (PBE) data for crystalline RbLiU2S4 at its relaxed geometry, as listed in the Alexandria database.

abc: 7.0924 7.0924 14.0730
angles: 90.00 90.00 146.88
Last column: nearest neighbours and their distance in Å.
Fractional coordinates of all 16 atoms:
Rb: 0.1051 0.8949 0.7500  6 S 3.26-3.40
Rb: 0.8949 0.1051 0.2500  6 S 3.26-3.40
Li: 0.1710 0.8290 0.2500  4 S 2.35-2.37
Li: 0.8290 0.1710 0.7500  4 S 2.35-2.37
U: 0.3685 0.6315 0.5574  6 S 2.72-2.82
U: 0.3685 0.6315 0.9426  6 S 2.72-2.82
U: 0.6315 0.3685 0.0574  6 S 2.72-2.82
U: 0.6315 0.3685 0.4426  6 S 2.72-2.82
S: 0.0000 0.0000 0.0000  4 U 2.82
S: 0.0000 0.0000 0.5000  4 U 2.82
S: 0.2608 0.7392 0.1058  1 Li 2.37
S: 0.2608 0.7392 0.3942  1 Li 2.37
S: 0.4170 0.5830 0.7500  2 Li 2.35
S: 0.5830 0.4170 0.2500  2 Li 2.35
S: 0.7392 0.2608 0.6058  1 Li 2.37
S: 0.7392 0.2608 0.8942  1 Li 2.37

Values from the calculation:
Uncorrected formation energy (eV/f.u.): -10.9
Space-group type: Cmcm, No. 63
Calculated volume (Å³ per atom): 24.17
Fermi-level density of states (states/eV per atom): 1.3489

=====

# 2
First-principles (PBE) data for crystalline RbHSN2 at its relaxed geometry, as listed in the Alexandria database.

abc: 5.1830 5.1830 3.3816
angles: 90.00 90.00 90.00
Last column: nearest neighbours and their distance in Å.
Fractional coordinates of all 5 atoms:
Rb: 0.0000 0.0000 0.0000  8 N 3.09, 2 Rb 3.38
H: 0.5000 0.5000 0.5000  2 S 1.69
S: 0.5000 0.5000 0.0000  2 H 1.69
N: 0.0000 0.5000 0.5000  2 H 2.59
N: 0.5000 0.0000 0.5000  2 H 2.59

Values from the calculation:
Final energy (eV/atom): -3.2562
Space-group type: P4/mmm, No. 123
Calculated volume (Å³ per atom): 18.17
Fermi-level density of states (states/eV per atom): 0.4958

=====

# 3
First-principles (PBE) data for crystalline LiMgTlBr4 at its relaxed geometry, as listed in the Alexandria database.

abc: 6.6950 8.1398 8.8777
angles: 90.00 102.76 90.00
Last column: nearest neighbours and their distance in Å.
Fractional coordinates of all 14 atoms:
Li: 0.2063 0.2500 0.3195  4 Br 2.55-2.61
Li: 0.7937 0.7500 0.6805  4 Br 2.55-2.61
Mg: 0.2859 0.7500 0.6824  4 Br 2.50-2.53
Mg: 0.7141 0.2500 0.3176  4 Br 2.50-2.53
Tl: 0.3056 0.2500 0.9156  6 Br 3.36-3.60
Tl: 0.6944 0.7500 0.0844  6 Br 3.36-3.60
Br: 0.0174 0.2500 0.5401  1 Mg 2.50, 1 Li 2.55
Br: 0.1095 0.7500 0.9065  1 Mg 2.53, 1 Li 2.57
Br: 0.4542 0.0200 0.2692  1 Mg 2.53, 1 Li 2.61
Br: 0.4542 0.4800 0.2692  1 Mg 2.53, 1 Li 2.61
Br: 0.5458 0.5200 0.7308  1 Mg 2.53, 1 Li 2.61
Br: 0.5458 0.9800 0.7308  1 Mg 2.53, 1 Li 2.61
Br: 0.8905 0.2500 0.0935  1 Mg 2.53, 1 Li 2.57
Br: 0.9826 0.7500 0.4599  1 Mg 2.50, 1 Li 2.55

Values from the calculation:
Uncorrected formation energy (eV/f.u.): -8.9
Space-group type: P2_1/m, No. 11
Calculated volume (Å³ per atom): 33.70
Fermi-level density of states (states/eV per atom): 0.0000

=====

# 4
First-principles (PBE) data for crystalline HfV5Mo6 at its relaxed geometry, as listed in the Alexandria database.

abc: 7.5944 7.5944 7.5944
angles: 146.00 131.50 60.55
Last column: nearest neighbours and their distance in Å.
Fractional coordinates of all 12 atoms:
Hf: 0.0000 0.0000 0.0000  8 Mo 2.75
V: 0.1683 0.6683 0.5000  8 Mo 2.60-2.74
V: 0.3326 0.3326 0.0000  8 Mo 2.65-2.69
V: 0.5000 0.0000 0.5000  8 Mo 2.67-2.72
V: 0.6674 0.6674 0.0000  8 Mo 2.65-2.69
V: 0.8317 0.3317 0.5000  8 Mo 2.60-2.74
Mo: 0.0843 0.8287 0.2556  7 V 2.60-2.73, 1 Hf 2.75
Mo: 0.2609 0.5000 0.7609  6 V 2.65-2.74, 2 Hf 2.75
Mo: 0.4268 0.1713 0.2556  7 V 2.60-2.73, 1 Hf 2.75
Mo: 0.5732 0.8287 0.7444  7 V 2.60-2.73, 1 Hf 2.75
Mo: 0.7391 0.5000 0.2391  6 V 2.65-2.74, 2 Hf 2.75
Mo: 0.9157 0.1713 0.7444  7 V 2.60-2.73, 1 Hf 2.75

Values from the calculation:
Final energy (eV/atom): -10.1149
Space-group type: Immm, No. 71
Calculated volume (Å³ per atom): 15.14
Fermi-level density of states (states/eV per atom): 0.9893